Entry 1:
! Li2AlIn (GGA-PBEsol, optimized geometry); values from VASP
&SYSTEM
  ibrav = 0, nat = 4, ntyp = 3
/
ATOMIC_SPECIES
Li 6.94 Li.upf
Al 26.98 Al.upf
In 114.82 In.upf
ATOMIC_POSITIONS crystal
Li 0.0000 0.5000 0.0000
Li 0.5000 0.0000 0.0000
Al 0.0000 0.0000 0.5000
In 0.5000 0.5000 0.5000
CELL_PARAMETERS angstrom
2.9449 -3.9664 0.0000
2.9449 3.9664 0.0000
0.0000 0.0000 2.9865
! Mass density, g cm⁻³: 3.7
! DOS(E_F), states/eV per atom: 0.3409
! Energy relative to the elements, meV per atom: -177.4
! E, eV/atom: -2.929



Entry 2:
! ReMoIr2 (GGA-PBEsol, optimized geometry); values from VASP
&SYSTEM
  ibrav = 0, nat = 4, ntyp = 3
/
ATOMIC_SPECIES
Re 186.21 Re.upf
Mo 95.94 Mo.upf
Ir 192.22 Ir.upf
ATOMIC_POSITIONS crystal
Re 0.0000 0.0000 0.0000
Mo 0.5000 0.5000 0.0000
Ir 0.0000 0.5000 0.5000
Ir 0.5000 0.0000 0.5000
CELL_PARAMETERS angstrom
3.8432 0.0000 0.0000
0.0000 3.8432 0.0000
0.0000 0.0000 3.8843
! Mass density, g cm⁻³: 19.3
! DOS(E_F), states/eV per atom: 0.6992
! Polymorph energy (0 for the lowest one), eV per atom: 0.092
! Energy relative to the elements, meV per atom: -256.5
! E, eV/atom: -11.443



Entry 3:
! AcCuO3 (GGA-PBEsol, optimized geometry); values from VASP
&SYSTEM
  ibrav = 0, nat = 5, ntyp = 3
/
ATOMIC_SPECIES
Ac 227.00 Ac.upf
Cu 63.55 Cu.upf
O 16.00 O.upf
ATOMIC_POSITIONS crystal
Ac 0.0000 0.0000 0.0000
Cu 0.5000 0.5000 0.5000
O 0.0000 0.5000 0.5000
O 0.5000 0.0000 0.5000
O 0.5000 0.5000 0.0000
CELL_PARAMETERS angstrom
3.8853 0.0000 0.0000
0.0000 3.8853 0.0000
0.0000 0.0000 3.8853
! Mass density, g cm⁻³: 9.6
! DOS(E_F), states/eV per atom: 0.1366
! ΔE_f (raw), meV/atom: -2077
! E, eV/atom: -6.994



Entry 4:
! Ag3Hg2 (GGA-PBEsol, optimized geometry); values from VASP
&SYSTEM
  ibrav = 0, nat = 5, ntyp = 2
/
ATOMIC_SPECIES
Ag 107.87 Ag.upf
Hg 200.59 Hg.upf
ATOMIC_POSITIONS crystal
Ag 0.0000 0.0000 0.0000
Ag 0.1983 0.1983 0.1983
Ag 0.8017 0.8017 0.8017
Hg 0.4010 0.4010 0.4010
Hg 0.5990 0.5990 0.5990
CELL_PARAMETERS angstrom
1.5094 0.8714 11.6958
-1.5094 0.8714 11.6958
0.0000 -1.7429 11.6958
! Mass density, g cm⁻³: 13.0
! DOS(E_F), states/eV per atom: 0.2667
! Energy relative to the elements, meV per atom: 34.2
! E, eV/atom: -2.179